1.
Below is Cd2In3Hg2 after structural relaxation, with properties calculated at the PBE level.

Calculated values
M_tot	0.000	Bohr magnetons per cell
Fermi-level density of states	2.90	states/eV/cell
calculated total energy	-10.241	eV per formula unit

Cell lengths 5.1002, 3.2024, 11.4004 Å; angles 90.00, 98.69, 90.00 degrees
Sites, in units of the cell vectors:
Cd1 0.1667 0.0000 0.2749
Cd2 0.8333 0.0000 0.7251
In1 0.0000 0.0000 0.0000
In2 0.2767 0.0000 0.5769
In3 0.7233 0.0000 0.4231
Hg1 0.4116 0.5000 0.8535
Hg2 0.5884 0.5000 0.1465



2.
Below is CeGdInRu after structural relaxation, with properties calculated at the PBE level.

Calculated values
M_tot	7.450	Bohr magnetons per cell
Fermi-level density of states	6.10	states/eV/cell
calculated total energy	-32.909	eV per formula unit

Cell lengths 5.1416, 5.1416, 5.1416 Å; angles 60.00, 60.00, 60.00 degrees
Sites, in units of the cell vectors:
Ce1 0.0000 0.0000 0.0000
Gd1 0.5000 0.5000 0.5000
In1 0.7500 0.7500 0.7500
Ru1 0.2500 0.2500 0.2500